# 1
Compound: Dy2Si4Os3
Source: the Alexandria database
Functional: GGA-PBE
Structure: optimized geometry

```
Dy2Si4Os3
1.0
5.3644 0.0000 -2.1016
0.0000 7.0010 0.0000
-0.0065 0.0000 7.8806
Si Dy Os
8 4 6
Cartesian
4.4048 0.1478 3.3462
1.0067 5.2508 6.5184
3.6353 3.6483 1.3821
1.7226 3.3527 4.3969
4.3511 1.7503 -0.7394
1.6689 1.7503 0.3114
0.9531 6.8532 2.4329
3.6889 5.2508 5.4676
4.7663 2.8496 4.2691
0.5915 4.1515 1.5099
3.2737 6.3501 0.4592
2.0841 0.6509 5.3199
2.6822 3.5005 -1.0508
0.1174 5.2508 4.2484
2.7996 5.2508 3.1976
5.2404 1.7503 1.5307
2.5582 1.7503 2.5815
0.0000 0.0000 0.0000
```

Space group: Cmce
Raw formation energy, eV per atom: -0.63
DOS at the Fermi energy, states/eV/atom: 0.600


# 2
Compound: SrCaCd2In2
Source: the Alexandria database
Functional: GGA-PBE
Structure: optimized geometry

```
SrCaCd2In2
1.0
-1.9703 1.3800 4.4267
2.8203 -4.1629 -0.3140
6.3697 4.2002 1.5257
In Sr Ca Cd
2 1 1 2
Cartesian
4.2371 2.5725 3.9509
2.9826 -1.1553 1.6876
0.0000 0.0000 0.0000
3.1849 2.1001 0.7629
1.4154 0.7119 3.2750
5.8043 0.7054 2.3635
```

Space group: P-3m1
Energy relative to the elements, kJ/mol of formula units: -231.0
DOS at the Fermi energy, states/eV/atom: 0.543


# 3
Compound: In2SeBr
Source: the Alexandria database
Functional: GGA-PBE
Structure: optimized geometry

```
In2SeBr
1.0
7.8816 -0.0171 0.5006
6.8414 3.9135 0.5006
-0.2285 -0.0605 4.0022
In Br Se
2 1 1
Cartesian
11.6892 3.0936 3.2812
0.1541 0.0408 0.5305
2.8925 0.7655 0.6834
7.0061 1.8542 3.0101
```

Space group: Cm
Raw formation energy, eV per atom: -0.47
DOS at the Fermi energy, states/eV/atom: 0.125


# 4
Compound: AlCd2Ge2
Source: the Alexandria database
Functional: GGA-PBE
Structure: optimized geometry

```
AlCd2Ge2
1.0
-2.8744 4.9509 -3.8418
-6.2667 -2.2632 1.7720
0.0074 2.7636 3.5559
Cd Ge Al
4 4 2
Cartesian
-4.3846 4.7250 -0.8111
-2.0345 2.5792 0.8516
-7.0992 2.8721 0.6346
-4.7490 0.7263 2.2973
-6.4634 2.8503 -2.2017
-6.4760 -0.1488 0.1291
-2.6777 -0.1626 0.1320
-2.6650 2.8365 -2.1989
0.0000 0.0000 0.0000
-4.5705 1.3438 -1.0349
```

Space group: P4/mbm
Energy relative to the elements, kJ/mol of formula units: 94.2
DOS at the Fermi energy, states/eV/atom: 0.442


# 5
Compound: RbYTcSe2
Source: the Alexandria database
Functional: GGA-PBE
Structure: optimized geometry

```
RbYTcSe2
1.0
5.5925 0.0000 0.0000
0.0000 5.5545 0.0000
0.0000 0.0000 5.5925
Tc Y Se Rb
1 1 2 1
Cartesian
0.0000 2.7773 0.0000
0.0000 0.0000 0.0000
2.7963 0.0000 0.0000
0.0000 0.0000 2.7963
2.7963 2.7773 2.7963
```

Space group: P4/mmm
Raw formation energy, eV per atom: 0.04
DOS at the Fermi energy, states/eV/atom: 0.787


# 6
Compound: LiCe2Ir2
Source: the Alexandria database
Functional: GGA-PBE
Structure: optimized geometry

```
LiCe2Ir2
1.0
-3.9413 3.9904 0.8192
-5.3896 -0.5705 -1.6596
-4.4355 -2.1847 6.6112
Li Ir Ce
2 4 4
Cartesian
-6.3032 -0.5019 0.3273
-7.4631 1.7370 5.4435
-9.7267 1.6335 6.7798
-8.5231 -0.4678 1.7385
-4.0397 -0.3983 -1.0090
-5.2433 1.7030 4.0323
-6.3971 -0.9113 3.6136
-7.3692 2.1465 2.1572
-10.0322 -0.3479 4.7008
-3.7342 1.5830 1.0700
```

Space group: C2/c
Energy relative to the elements, kJ/mol of formula units: -276.7
DOS at the Fermi energy, states/eV/atom: 1.744